! Dy7Sb4Te4 (PBE-GGA, optimized geometry); values from VASP
&SYSTEM
  ibrav = 0, nat = 30, ntyp = 3
/
ATOMIC_SPECIES
Dy 162.50 Dy.upf
Sb 121.76 Sb.upf
Te 127.60 Te.upf
CELL_PARAMETERS angstrom
-7.587 7.587 4.040
7.587 -7.587 4.040
7.587 7.587 -4.040
ATOMIC_POSITIONS crystal
Dy 0.000 0.284 0.284
Dy 0.000 0.716 0.716
Dy 0.139 0.500 0.639
Dy 0.241 0.241 0.000
Dy 0.284 0.000 0.284
Dy 0.292 0.292 0.584
Dy 0.292 0.708 0.000
Dy 0.500 0.139 0.639
Dy 0.500 0.861 0.361
Dy 0.708 0.292 0.000
Dy 0.708 0.708 0.416
Dy 0.716 0.000 0.716
Dy 0.759 0.759 0.000
Dy 0.861 0.500 0.361
Sb 0.102 0.602 0.205
Sb 0.102 0.898 0.500
Sb 0.398 0.602 0.500
Sb 0.398 0.898 0.795
Sb 0.602 0.102 0.205
Sb 0.602 0.398 0.500
Sb 0.898 0.102 0.500
Sb 0.898 0.398 0.795
Te 0.122 0.122 0.244
Te 0.122 0.878 0.000
Te 0.336 0.500 0.836
Te 0.500 0.336 0.836
Te 0.500 0.664 0.164
Te 0.664 0.500 0.164
Te 0.878 0.122 0.000
Te 0.878 0.878 0.756
! Density of states at the Fermi level   3.496 states/eV/f.u.
! Total energy   -154.9 eV for the cell shown
! ΔE_f (raw)   -1.0771 eV per atom
! Total moment   0.8 μB per formula unit


! Nd5ThTl4 (PBE-GGA, optimized geometry); values from VASP
&SYSTEM
  ibrav = 0, nat = 10, ntyp = 3
/
ATOMIC_SPECIES
Nd 144.24 Nd.upf
Th 232.04 Th.upf
Tl 204.38 Tl.upf
CELL_PARAMETERS angstrom
3.656 0.000 0.000
0.000 3.656 0.000
0.000 0.000 22.627
ATOMIC_POSITIONS crystal
Nd 0.000 0.000 0.000
Nd 0.000 0.000 0.196
Nd 0.000 0.000 0.392
Nd 0.000 0.000 0.608
Nd 0.000 0.000 0.804
Th 0.500 0.500 0.500
Tl 0.500 0.500 0.098
Tl 0.500 0.500 0.294
Tl 0.500 0.500 0.706
Tl 0.500 0.500 0.902
! Density of states at the Fermi level   6.953 states/eV/f.u.
! Total energy   -43.8 eV for the cell shown
! ΔE_f   -0.310 eV/atom
! Total moment   0.0 μB per formula unit


! CaGa2Pb2 (PBE-GGA, optimized geometry); values from VASP
&SYSTEM
  ibrav = 0, nat = 5, ntyp = 3
/
ATOMIC_SPECIES
Ca 40.08 Ca.upf
Ga 69.72 Ga.upf
Pb 207.20 Pb.upf
CELL_PARAMETERS angstrom
-2.143 2.143 7.627
2.143 -2.143 7.627
2.143 2.143 -7.627
ATOMIC_POSITIONS crystal
Ca 0.000 0.000 0.000
Ga 0.250 0.750 0.500
Ga 0.750 0.250 0.500
Pb 0.389 0.389 0.000
Pb 0.611 0.611 0.000
! Distance to the lowest polymorph of the same formula   77 meV/atom
! Density of states at the Fermi level   2.910 states/eV/f.u.
! Total energy   -15.9 eV for the cell shown
! ΔE_f   -0.094 eV/atom
! Total moment   0.0 μB per formula unit


! K2IrW (PBE-GGA, optimized geometry); values from VASP
&SYSTEM
  ibrav = 0, nat = 4, ntyp = 3
/
ATOMIC_SPECIES
K 39.10 K.upf
Ir 192.22 Ir.upf
W 183.84 W.upf
CELL_PARAMETERS angstrom
2.788 0.000 0.000
0.000 5.302 0.000
0.000 0.000 5.808
ATOMIC_POSITIONS crystal
K 0.000 0.247 0.000
K 0.000 0.753 0.000
Ir 0.500 0.000 0.500
W 0.500 0.500 0.500
! Distance to the lowest polymorph of the same formula   639 meV/atom
! Density of states at the Fermi level   4.148 states/eV/f.u.
! Total energy   -19.0 eV for the cell shown
! ΔE_f   1.261 eV/atom
! Total moment   0.3 μB per formula unit